A plane-wave DFT calculation with GGA+U was carried out for a relaxed VNiO2 crystal.

a b c (Å): 3.002 5.487 5.735
angles (deg): 97.73 103.51 90.15
Fractional coordinates of all 8 atoms:
V: 0.244 0.243 0.489
V: 0.756 0.757 0.511
Ni: 0.000 0.000 0.000
Ni: 0.000 0.500 0.000
O: 0.175 0.563 0.329
O: 0.341 0.957 0.705
O: 0.659 0.043 0.295
O: 0.825 0.437 0.671

Computed properties:
* Fermi-level density of states: 0.04 states/eV/cell
* crystal system: triclinic
* offset from the most stable computed form: 0.031 eV/atom
* E_tot: -6.2916 eV/atom
* total magnetic moment: 6.00 μB per cell